Below is Si2TeSe after structural relaxation, with properties calculated at the GGA-PBEsol level.

Output
Energy relative to the lowest polymorph listed for this composition ... 0.284 eV/atom
V ... 22.993 Å³/atom

```
Si2TeSe
1.0
1.7360 -3.0780 0.0000
1.7360 3.0780 0.0000
0.0000 0.0000 8.6063
Si Te Se
2 1 1
direct
0.0000 0.0000 0.0000
0.5000 0.5000 0.2067
0.0000 0.0000 0.4291
0.5000 0.5000 0.8139
```